{"formula": "YThPdAu", "functional": "PBE", "state": "optimized geometry", "m_tot_mub_per_fu": 0.00, "relative_energy_ev_per_atom": 0.114, "e_tot_ev_per_cell": -25.2, "dos_ef_per_ev_cell": 3.804, "density_g_cm3": 10.82, "lattice_angstrom": [[5.136, 0.000, 0.000], [2.568, 4.448, 0.000], [2.568, 1.483, 4.194]], "species": ["Au", "Pd", "Y", "Th"], "frac_coords": [[0.750, 0.750, 0.750], [0.250, 0.250, 0.250], [0.000, 0.000, 0.000], [0.500, 0.500, 0.500]]}


{"formula": "Tl2InSnF", "functional": "PBE", "state": "optimized geometry", "e_form_raw_kj_per_mol_atoms": -33, "m_tot_mub_per_fu": 0.00, "relative_energy_ev_per_atom": 0.000, "e_tot_ev_per_cell": -15.1, "dos_ef_per_ev_cell": 2.707, "density_g_cm3": 7.29, "lattice_angstrom": [[-1.492, 1.556, 5.487], [0.611, -4.082, 1.323], [5.643, 1.229, 1.186]], "species": ["Sn", "Tl", "Tl", "In", "F"], "frac_coords": [[0.500, 0.500, 0.500], [0.500, 0.000, 0.000], [0.000, 0.000, 0.500], [0.000, 0.000, 0.000], [0.000, 0.500, 0.000]]}